No. 1
Entry from Alexandria: a relaxed structure of Li2CrFe2O6 (PBE with a Hubbard U).

Lattice parameters (Å, degrees): 6.592 6.580 8.540 70.64 70.92 82.36
Sites, in units of the cell vectors:
Cr  0.000  0.000  0.000
Cr  0.003  0.328  0.663
Cr  0.997  0.672  0.337
Fe  0.335  0.664  0.002
Fe  0.331  0.998  0.667
Fe  0.337  0.334  0.334
Fe  0.669  0.002  0.333
Fe  0.665  0.336  0.998
Fe  0.663  0.666  0.666
O  0.674  0.682  0.433
O  0.687  0.023  0.069
O  0.683  0.357  0.738
O  0.019  0.686  0.089
O  0.016  0.004  0.764
O  0.348  0.688  0.744
O  0.984  0.996  0.236
O  0.981  0.314  0.911
O  0.313  0.977  0.931
O  0.021  0.351  0.417
O  0.358  0.024  0.402
O  0.347  0.348  0.100
O  0.979  0.649  0.583
O  0.326  0.318  0.567
O  0.317  0.643  0.262
O  0.642  0.976  0.598
O  0.652  0.312  0.256
O  0.653  0.652  0.900
Li  0.662  0.995  0.836
Li  0.658  0.334  0.504
Li  0.997  0.329  0.181
Li  0.003  0.671  0.819
Li  0.338  0.005  0.164
Li  0.342  0.666  0.496

Results
* space-group type: P-1
* calculated volume: 10.0 A^3/atom
* VASP energy: -207.58 eV/cell

***

No. 2
Entry from Alexandria: a relaxed structure of Li2CrFeP2O8 (PBE with a Hubbard U).

Lattice parameters (Å, degrees): 4.777 5.977 10.788 89.97 88.31 89.98
Sites, in units of the cell vectors:
Li  0.000  0.000  0.000
Li  0.000  0.500  0.000
Li  0.500  0.000  0.500
Li  0.500  0.500  0.500
Cr  0.487  0.250  0.225
Cr  0.513  0.750  0.775
Fe  0.986  0.250  0.720
Fe  0.014  0.750  0.280
P  0.414  0.250  0.900
P  0.586  0.750  0.100
P  0.924  0.750  0.588
P  0.076  0.250  0.412
O  0.716  0.750  0.967
O  0.284  0.250  0.033
O  0.737  0.250  0.896
O  0.263  0.750  0.104
O  0.242  0.750  0.583
O  0.758  0.250  0.417
O  0.209  0.250  0.542
O  0.791  0.750  0.458
O  0.286  0.042  0.831
O  0.286  0.458  0.832
O  0.714  0.542  0.168
O  0.714  0.958  0.169
O  0.790  0.546  0.662
O  0.790  0.953  0.663
O  0.210  0.047  0.337
O  0.210  0.454  0.338

Results
* space-group type: P2_1/m
* calculated volume: 11.0 A^3/atom
* VASP energy: -195.17 eV/cell
* Fermi-level density of states: 0.000 states/eV/atom

***

No. 3
Entry from Alexandria: a relaxed structure of Li4Cr3Fe3Sb2O16 (PBE with a Hubbard U).

Lattice parameters (Å, degrees): 5.951 5.965 9.706 89.71 89.77 119.84
Sites, in units of the cell vectors:
Li  0.336  0.671  0.910
Li  0.001  0.000  0.997
Li  0.998  0.996  0.497
Li  0.667  0.332  0.413
Cr  0.655  0.828  0.220
Cr  0.831  0.660  0.721
Cr  0.828  0.169  0.722
Fe  0.169  0.829  0.222
Fe  0.168  0.339  0.221
Fe  0.338  0.172  0.719
Sb  0.334  0.665  0.496
Sb  0.667  0.336  0.993
O  0.162  0.827  0.600
O  0.036  0.516  0.356
O  0.330  0.666  0.114
O  0.996  0.998  0.310
O  0.001  0.999  0.810
O  0.164  0.326  0.602
O  0.485  0.963  0.353
O  0.486  0.521  0.353
O  0.669  0.834  0.604
O  0.334  0.168  0.102
O  0.529  0.497  0.854
O  0.520  0.040  0.851
O  0.833  0.667  0.103
O  0.666  0.337  0.620
O  0.965  0.481  0.849
O  0.831  0.165  0.101

Results
* space-group type: P1
* calculated volume: 10.7 A^3/atom
* VASP energy: -181.92 eV/cell
* Fermi-level density of states: 0.006 states/eV/atom